# PBE Ca2YCo2, relaxed
data_Ca2YCo2
_chemical_formula_sum 'Ca4 Y2 Co4'
_cell_length_a 7.081
_cell_length_b 7.081
_cell_length_c 4.626
_cell_angle_alpha 90.00
_cell_angle_beta 90.00
_cell_angle_gamma 90.00
_symmetry_space_group_name_H-M 'P 4/m b m'
_symmetry_Int_Tables_number 127
_symmetry_space_group_name_Hall '-P 4 2ab'
loop_
_atom_site_label
_atom_site_type_symbol
_atom_site_fract_x
_atom_site_fract_y
_atom_site_fract_z
Ca1 Ca 0.169 0.331 0.000
Y1 Y 0.000 0.000 0.500
Co1 Co 0.112 0.612 0.500
# Size of the total moment = 1.14 μB per formula unit
# Relative energy among the computed polymorphs = 0 meV per atom
# Formation energy from the elements = 15.6 kJ/mol of atoms
# Volume = 23.192 Å³ per atom